Record 1
This record from Alexandria describes a relaxed structure of TaCuOF2. The functional is PBE.

Values from the calculation:
Offset from the most stable computed form: 1.109 eV per atom

Cell: 3.911 3.911 3.998 Å, 90.00 90.00 90.00°
Space group P4/mmm (No. 123)
Symmetry-distinct sites (fractional):
1 Ta 0.000 0.000 0.000 x1
2 Cu 0.500 0.500 0.500 x1
3 O 0.500 0.500 0.000 x1
4 F 0.000 0.500 0.500 x2

---

Record 2
This record from Alexandria describes a relaxed structure of TaCuO2F. The functional is PBE.

Cell: 3.954 3.954 4.171 Å, 90.00 90.00 90.00°
Space group P4/mmm (No. 123)
Symmetry-distinct sites (fractional):
1 Ta 0.000 0.000 0.000 x1
2 Cu 0.500 0.500 0.500 x1
3 O 0.000 0.500 0.000 x2
4 F 0.000 0.000 0.500 x1

---

| no. | formation energy (no corrections) (kJ/mol of atoms) |
| --- | --- |
| 1 | -37.4 |
| 2 | -162.3 |